1.
{
  "formula": "Ti4As2N",
  "functional": "PBE-GGA",
  "state": "relaxed",
  "formation_energy_uncorrected_mev_per_atom": -976,
  "sg": "No. 139",
  "lattice_angstrom": [[3.961, 0.000, 0.000], [0.000, 3.961, 0.000], [1.981, 1.981, 6.742]],
  "species": ["As", "As", "N", "Ti", "Ti", "Ti", "Ti"],
  "fractional_positions": [[0.356, 0.356, 0.289], [0.644, 0.644, 0.711], [0.000, 0.000, 0.000], [0.165, 0.165, 0.670], [0.835, 0.835, 0.330], [0.000, 0.500, 0.000], [0.500, 0.000, 0.000]]
}

***

2.
{
  "formula": "Ti2AsN",
  "functional": "PBE-GGA",
  "state": "relaxed",
  "formation_energy_uncorrected_mev_per_atom": -209,
  "relative_energy_ev_per_atom": 1.053,
  "sg": "No. 225",
  "lattice_angstrom": [[-2.209, 1.907, 3.041], [-3.485, 2.165, -0.968], [-3.784, -1.491, 1.108]],
  "species": ["As", "N", "Ti", "Ti"],
  "fractional_positions": [[0.500, 0.500, 0.500], [0.000, 0.000, 0.000], [0.250, 0.250, 0.250], [0.750, 0.750, 0.750]]
}

***

no.,DFT total energy (Ha/atom)
1,-0.294
2,-0.272